4
Lattice="-2.1311 2.1311 4.4722 2.1311 -2.1311 4.4722 2.1311 2.1311 -4.4722" Properties=species:S:1:pos:R:3 comment="Tl2HgRh (GGA-PBEsol, optimized geometry)" spacegroup="No. 119" dft_energy_ev_per_atom=-3.240 e_above_lowest_polymorph_ev_per_atom=0.1942 formation_enthalpy_0k_mev_per_atom=252 pbc="T T T"
Tl 0.0000 0.0000 0.0000
Tl 0.0000 2.1311 2.2361
Hg 0.0000 0.0000 4.4722
Rh 2.1311 0.0000 2.2361

5
Lattice="5.3436 0.0000 0.0000 0.0000 5.3436 0.0000 0.0000 0.0000 5.3436" Properties=species:S:1:pos:R:3 comment="ZnPb3W (GGA-PBEsol, optimized geometry)" spacegroup="No. 221" dft_energy_ev_per_atom=-4.736 e_above_lowest_polymorph_ev_per_atom=0.0000 formation_enthalpy_0k_mev_per_atom=741 pbc="T T T"
Zn 0.0000 0.0000 0.0000
Pb 0.0000 2.6718 2.6718
Pb 2.6718 0.0000 2.6718
Pb 2.6718 2.6718 0.0000
W 2.6718 2.6718 2.6718

8
Lattice="-3.5425 3.5425 2.5116 3.5425 -3.5425 2.5116 3.5425 3.5425 -2.5116" Properties=species:S:1:pos:R:3 comment="ZrScBe2 (GGA-PBEsol, optimized geometry)" spacegroup="No. 122" dft_energy_ev_per_atom=-5.448 e_above_lowest_polymorph_ev_per_atom=0.5445 formation_enthalpy_0k_mev_per_atom=475 pbc="T T T"
Zr 0.0000 0.0000 0.0000
Zr 0.0000 3.5425 1.2558
Sc 3.5425 0.0000 1.2558
Sc 0.0000 0.0000 2.5116
Be 1.7712 1.7859 -0.6279
Be 5.2990 1.7712 0.6279
Be 1.7712 1.7565 1.8837
Be -1.7565 1.7712 3.1395

5
Lattice="3.9148 0.0000 0.0000 0.0000 3.9148 0.0000 0.0000 0.0000 3.9148" Properties=species:S:1:pos:R:3 comment="BeIF3 (GGA-PBEsol, optimized geometry)" spacegroup="No. 221" dft_energy_ev_per_atom=-3.753 e_form_raw_ev_per_atom=-1.44 pbc="T T T"
Be 0.0000 0.0000 0.0000
I 1.9574 1.9574 1.9574
F 0.0000 0.0000 1.9574
F 0.0000 1.9574 0.0000
F 1.9574 0.0000 0.0000

4
Lattice="-1.4932 1.9811 4.0454 1.4932 -1.9811 4.0454 1.4932 1.9811 -4.0454" Properties=species:S:1:pos:R:3 comment="CrFe2Mo (GGA-PBEsol, optimized geometry)" spacegroup="No. 71" dft_energy_ev_per_atom=-9.858 e_above_lowest_polymorph_ev_per_atom=0.0000 formation_enthalpy_0k_mev_per_atom=126 pbc="T T T"
Cr 0.0000 0.0000 0.0000
Fe 1.4932 0.0000 1.9914
Fe 0.0000 1.9811 2.0541
Mo 0.0000 0.0000 4.0454

4
Lattice="2.4587 -5.0570 0.0000 2.4587 5.0570 0.0000 0.0000 0.0000 2.9323" Properties=species:S:1:pos:R:3 comment="YOs2Cl (GGA-PBEsol, optimized geometry)" spacegroup="No. 65" dft_energy_ev_per_atom=-7.677 e_form_raw_ev_per_atom=0.64 pbc="T T T"
Y 0.0000 0.0000 0.0000
Os 1.2293 2.5285 1.4661
Os 1.2293 -2.5285 1.4661
Cl 2.4587 0.0000 0.0000

8
Lattice="-3.6660 3.6660 3.9074 3.6660 -3.6660 3.9074 3.6660 3.6660 -3.9074" Properties=species:S:1:pos:R:3 comment="TlSiSe2 (GGA-PBEsol, optimized geometry)" spacegroup="No. 122" dft_energy_ev_per_atom=-4.141 e_form_raw_ev_per_atom=-0.12 pbc="T T T"
Tl 0.0000 0.0000 0.0000
Tl 0.0000 3.6660 1.9537
Si 3.6660 0.0000 1.9537
Si 0.0000 0.0000 3.9074
Se 1.8330 2.4208 -0.9769
Se 4.9111 1.8330 0.9769
Se 1.8330 1.2451 2.9306
Se -1.2451 1.8330 4.8843

5
Lattice="2.1636 1.2491 10.0218 -2.1636 1.2491 10.0218 0.0000 -2.4983 10.0218" Properties=species:S:1:pos:R:3 comment="BiSbTe3 (GGA-PBEsol, optimized geometry)" spacegroup="No. 160" dft_energy_ev_per_atom=-4.056 e_form_raw_ev_per_atom=-0.17 pbc="T T T"
Bi 0.0000 0.0000 0.0000
Sb 0.0000 0.0000 6.0509
Te 0.0000 0.0000 11.7883
Te 0.0000 0.0000 18.0029
Te 0.0000 0.0000 24.4194

5
Lattice="3.9427 0.0000 0.0000 -1.9714 3.4145 0.0000 0.0000 0.0000 6.1947" Properties=species:S:1:pos:R:3 comment="BiPbO2F (GGA-PBEsol, optimized geometry)" spacegroup="No. 156" dft_energy_ev_per_atom=-5.680 e_form_raw_ev_per_atom=-1.54 pbc="T T T"
Bi 0.0000 0.0000 0.0000
Pb 1.9714 1.1382 2.9394
O 0.0000 0.0000 2.1810
O 1.9714 1.1382 0.5598
F 0.0000 2.2763 4.8932

5
Lattice="3.9085 0.0000 0.0000 0.0000 3.9085 0.0000 0.0000 0.0000 5.3457" Properties=species:S:1:pos:R:3 comment="MgS2N2 (GGA-PBEsol, optimized geometry)" spacegroup="No. 123" dft_energy_ev_per_atom=-3.913 e_above_lowest_polymorph_ev_per_atom=0.8975 e_form_raw_ev_per_atom=1.60 pbc="T T T"
Mg 0.0000 0.0000 0.0000
S 0.0000 0.0000 2.6728
S 1.9542 1.9542 2.6728
N 0.0000 1.9542 0.0000
N 1.9542 0.0000 0.0000

5
Lattice="4.9821 0.0000 0.0000 0.0000 4.9821 0.0000 0.0000 0.0000 5.6842" Properties=species:S:1:pos:R:3 comment="Ga2SnPtPb (GGA-PBEsol, optimized geometry)" spacegroup="No. 123" dft_energy_ev_per_atom=-3.384 formation_enthalpy_0k_mev_per_atom=997 pbc="T T T"
Ga 0.0000 2.4911 0.0000
Ga 2.4911 0.0000 0.0000
Sn 0.0000 0.0000 0.0000
Pt 2.4911 2.4911 2.8421
Pb 0.0000 0.0000 2.8421

5
Lattice="5.0891 0.0000 0.0000 0.0000 5.0891 0.0000 0.0000 0.0000 5.2780" Properties=species:S:1:pos:R:3 comment="KMnBeBi2 (GGA-PBEsol, optimized geometry)" spacegroup="No. 123" dft_energy_ev_per_atom=-3.883 formation_enthalpy_0k_mev_per_atom=810 pbc="T T T"
K 0.0000 0.0000 0.0000
Mn 2.5446 2.5446 0.0000
Be 0.0000 0.0000 2.6390
Bi 0.0000 2.5446 2.6390
Bi 2.5446 0.0000 2.6390